(1)
The following is a GGA-PBE calculation of K3Sm2PuS6 after structural relaxation, from Alexandria.

Cell and atoms, written as POSCAR:
```
K3Sm2PuS6
1.0
3.5895 -6.2175 0.0000
3.5895 6.2175 0.0000
-2.3923 0.0000 7.3599
K Sm Pu S
3 2 1 6
Direct
0.0000 0.0000 0.0000 K
0.3328 0.6672 0.0000 K
0.6672 0.3328 0.0000 K
0.1666 0.8334 0.5000 Sm
0.8334 0.1666 0.5000 Sm
0.5000 0.5000 0.5000 Pu
0.1007 0.4320 0.2960 S
0.2367 0.2367 0.7041 S
0.4320 0.1007 0.2960 S
0.5680 0.8993 0.7040 S
0.7633 0.7633 0.2959 S
0.8993 0.5680 0.7040 S
```

Properties
For the magnetization, the calculation gives 5.0 μB/f.u. Its formation energy (no corrections) is -1.757 eV per atom.

=====

(2)
The following is a GGA-PBE calculation of K4Sm3PuS8 after structural relaxation, from Alexandria.

Cell and atoms, written as POSCAR:
```
K4Sm3PuS8
1.0
4.1437 2.3924 7.3674
-4.1437 2.3924 7.3674
0.0000 -4.7848 7.3674
K Sm Pu S
4 3 1 8
Direct
0.0000 0.0000 0.0000 K
0.0000 0.5000 0.5000 K
0.5000 0.0000 0.5000 K
0.5000 0.5000 0.0000 K
0.0000 0.0000 0.5000 Sm
0.0000 0.5000 0.0000 Sm
0.5000 0.0000 0.0000 Sm
0.5000 0.5000 0.5000 Pu
0.2354 0.2354 0.2354 S
0.2363 0.7338 0.7338 S
0.2662 0.2662 0.7637 S
0.2662 0.7637 0.2662 S
0.7338 0.2363 0.7338 S
0.7338 0.7338 0.2363 S
0.7637 0.2662 0.2662 S
0.7646 0.7646 0.7646 S
```

Properties
For the magnetization, the calculation gives 5.0 μB/f.u. Its formation energy (no corrections) is -1.786 eV per atom.

=====

(3)
The following is a GGA-PBE calculation of K3SmPu2S6 after structural relaxation, from Alexandria.

Cell and atoms, written as POSCAR:
```
K3SmPu2S6
1.0
3.5711 -6.1852 0.0000
3.5711 6.1852 0.0000
-2.3811 0.0000 7.3504
K Sm Pu S
3 1 2 6
Direct
0.0000 0.0000 0.0000 K
0.3338 0.6662 0.0000 K
0.6662 0.3338 0.0000 K
0.5000 0.5000 0.5000 Sm
0.1667 0.8333 0.5000 Pu
0.8333 0.1667 0.5000 Pu
0.0952 0.4325 0.2977 S
0.2301 0.2301 0.7024 S
0.4325 0.0952 0.2977 S
0.5675 0.9048 0.7023 S
0.7699 0.7699 0.2976 S
0.9048 0.5675 0.7023 S
```

Properties
For the magnetization, the calculation gives 10.0 μB/f.u. Its formation energy (no corrections) is -1.674 eV per atom.

=====

(4)
The following is a GGA-PBE calculation of K4Pu3SnS8 after structural relaxation, from Alexandria.

Cell and atoms, written as POSCAR:
```
K4Pu3SnS8
1.0
4.1469 2.3942 7.2674
-4.1469 2.3942 7.2674
0.0000 -4.7884 7.2674
K Pu Sn S
4 3 1 8
Direct
0.0000 0.0000 0.0000 K
0.0000 0.5000 0.5000 K
0.5000 0.0000 0.5000 K
0.5000 0.5000 0.0000 K
0.0000 0.0000 0.5000 Pu
0.0000 0.5000 0.0000 Pu
0.5000 0.0000 0.0000 Pu
0.5000 0.5000 0.5000 Sn
0.2194 0.7400 0.7400 S
0.2332 0.2332 0.2332 S
0.2600 0.2600 0.7806 S
0.2600 0.7806 0.2600 S
0.7400 0.2194 0.7400 S
0.7400 0.7400 0.2194 S
0.7668 0.7668 0.7668 S
0.7806 0.2600 0.2600 S
```

Properties
For the magnetization, the calculation gives 14.0 μB/f.u. Its formation energy (no corrections) is -1.397 eV per atom.

=====

(5)
The following is a GGA-PBE calculation of KPuSnS3 after structural relaxation, from Alexandria.

Cell and atoms, written as POSCAR:
```
KPuSnS3
1.0
8.0398 0.0000 0.0000
0.0000 4.0685 0.0000
-3.4369 0.0000 11.3156
K Pu Sn S
2 2 2 6
Direct
0.1940 0.2500 0.2220 K
0.8060 0.7500 0.7780 K
0.3660 0.7500 0.8550 Pu
0.6340 0.2500 0.1450 Pu
0.1784 0.2500 0.5728 Sn
0.8216 0.7500 0.4272 Sn
0.1165 0.2500 0.7757 S
0.3926 0.7500 0.0899 S
0.3951 0.7500 0.6246 S
0.6049 0.2500 0.3754 S
0.6074 0.2500 0.9101 S
0.8835 0.7500 0.2243 S
```

Properties
For the magnetization, the calculation gives 5.0 μB/f.u. Its formation energy (no corrections) is -1.182 eV per atom.

=====

(6)
The following is a GGA-PBE calculation of K2PuSnS5 after structural relaxation, from Alexandria.

Cell and atoms, written as POSCAR:
```
K2PuSnS5
1.0
2.0098 -8.8425 0.0000
2.0098 8.8425 0.0000
0.0000 0.0000 14.6761
K Pu Sn S
4 2 2 10
Direct
0.1239 0.8761 0.5000 K
0.1302 0.8698 0.0257 K
0.8698 0.1302 0.5257 K
0.8761 0.1239 0.0000 K
0.2329 0.7671 0.7727 Pu
0.7671 0.2329 0.2727 Pu
0.4995 0.5005 0.7351 Sn
0.5005 0.4995 0.2351 Sn
0.0704 0.9296 0.7991 S
0.2737 0.7263 0.1552 S
0.2821 0.7179 0.3885 S
0.3831 0.6169 0.8183 S
0.4978 0.5022 0.5759 S
0.5022 0.4978 0.0759 S
0.6169 0.3831 0.3183 S
0.7179 0.2821 0.8885 S
0.7263 0.2737 0.6552 S
0.9296 0.0704 0.2991 S
```

Properties
For the magnetization, the calculation gives 4.0 μB/f.u. Its formation energy (no corrections) is -1.040 eV per atom.

=====

Please write out number 2 again, unchanged.
The following is a GGA-PBE calculation of K4Sm3PuS8 after structural relaxation, from Alexandria.

Cell and atoms, written as POSCAR:
```
K4Sm3PuS8
1.0
4.1437 2.3924 7.3674
-4.1437 2.3924 7.3674
0.0000 -4.7848 7.3674
K Sm Pu S
4 3 1 8
Direct
0.0000 0.0000 0.0000 K
0.0000 0.5000 0.5000 K
0.5000 0.0000 0.5000 K
0.5000 0.5000 0.0000 K
0.0000 0.0000 0.5000 Sm
0.0000 0.5000 0.0000 Sm
0.5000 0.0000 0.0000 Sm
0.5000 0.5000 0.5000 Pu
0.2354 0.2354 0.2354 S
0.2363 0.7338 0.7338 S
0.2662 0.2662 0.7637 S
0.2662 0.7637 0.2662 S
0.7338 0.2363 0.7338 S
0.7338 0.7338 0.2363 S
0.7637 0.2662 0.2662 S
0.7646 0.7646 0.7646 S
```

Properties
For the magnetization, the calculation gives 5.0 μB/f.u. Its formation energy (no corrections) is -1.786 eV per atom.

=====

> Which of these has the lowest magnetization?

K2PuSnS5

=====

> formation energy (no corrections) of number 2 (K4Sm3PuS8)?

-1.786 eV per atom